Density functional theory data (GGA-PBE) for MgZrPt2 after structural relaxation.

```
MgZrPt2
1.0
-0.9752 6.6325 -2.7808
1.1586 -2.6247 -6.6666
-2.7462 1.4683 -5.0060
Mg Pt Zr
2 4 2
Direct
0.2500 0.7500 0.5000 Mg
0.5000 0.5000 0.0000 Mg
0.1269 0.6250 0.2500 Pt
0.3750 0.3769 0.7500 Pt
0.6231 0.1250 0.2500 Pt
0.8750 0.8731 0.7500 Pt
0.7500 0.2500 0.5000 Zr
0.0000 0.0000 0.0000 Zr
```

Properties
Symmetry: I-42d (122)
E, eV per atom: -6.05